# Tb6Y3TmSc2 PBE relaxed
data_Tb6Y3TmSc2
_chemical_formula_sum 'Tb12 Y6 Tm2 Sc4'
_cell_length_a 6.093
_cell_length_b 10.542
_cell_length_c 11.572
_cell_angle_alpha 90.00
_cell_angle_beta 100.08
_cell_angle_gamma 90.00
_symmetry_space_group_name_H-M 'C 1 2/m 1'
_symmetry_Int_Tables_number 12
_symmetry_space_group_name_Hall '-C 2y'
loop_
_atom_site_label
_atom_site_type_symbol
_atom_site_fract_x
_atom_site_fract_y
_atom_site_fract_z
_atom_site_occupancy
Tb1 Tb 0.246 0.000 0.243 1
Tb2 Tb 0.249 0.332 0.243 1
Y1 Y 0.000 0.000 0.500 1
Y2 Y 0.000 0.333 0.500 1
Tm1 Tm 0.000 0.500 0.000 1
Sc1 Sc 0.000 0.167 0.000 1
# - total moment (μB/cell) = 0.00
# - crystal system = monoclinic
# - formation energy (eV/atom) = 0.038
# - uncorrected energy (eV/atom) = -5.321

***

# Sr4ErSe5 PBE relaxed
data_Sr4ErSe5
_chemical_formula_sum 'Sr8 Er2 Se10'
_cell_length_a 9.724
_cell_length_b 9.724
_cell_length_c 6.157
_cell_angle_alpha 90.00
_cell_angle_beta 90.00
_cell_angle_gamma 90.00
_symmetry_space_group_name_H-M 'I 4/m'
_symmetry_Int_Tables_number 87
_symmetry_space_group_name_Hall '-I 4'
loop_
_atom_site_label
_atom_site_type_symbol
_atom_site_fract_x
_atom_site_fract_y
_atom_site_fract_z
_atom_site_occupancy
Sr1 Sr 0.096 0.700 0.000 1
Er1 Er 0.000 0.000 0.500 1
Se1 Se 0.000 0.000 0.000 1
Se2 Se 0.095 0.716 0.500 1
# - total moment (μB/cell) = 0.00
# - crystal system = tetragonal
# - formation energy (no corrections) (eV per atom) = -1.957
# - uncorrected energy (eV/atom) = -4.829

***

# InCuPd2I PBE relaxed
data_InCuPd2I
_chemical_formula_sum 'In1 Cu1 Pd2 I1'
_cell_length_a 4.877
_cell_length_b 4.877
_cell_length_c 4.846
_cell_angle_alpha 90.00
_cell_angle_beta 90.00
_cell_angle_gamma 90.00
_symmetry_space_group_name_H-M 'P 4/m m m'
_symmetry_Int_Tables_number 123
_symmetry_space_group_name_Hall '-P 4 2'
loop_
_atom_site_label
_atom_site_type_symbol
_atom_site_fract_x
_atom_site_fract_y
_atom_site_fract_z
_atom_site_occupancy
In1 In 0.000 0.000 0.000 1
Cu1 Cu 0.000 0.000 0.500 1
Pd1 Pd 0.000 0.500 0.500 1
I1 I 0.500 0.500 0.000 1
# - total moment (μB/cell) = 0.00
# - crystal system = tetragonal
# - formation energy (no corrections) (eV per atom) = 0.365
# - uncorrected energy (eV/atom) = -3.389